(1)
The following is a PBE-GGA calculation of a relaxed structure of Tb3In5, from the Alexandria database.

The mass density is 8.4 Mg/m³. The calculation puts the energy of formation from the pure elements at -10.11 kcal/mol of atoms. As for the crystal system: orthorhombic. The total moment comes out at 0.000 μB per cell. For the polymorph energy (0 for the lowest one), the calculation gives 37.2 meV/atom.

It has space group Cmmm (No. 65), with a = 9.180 Å, b = 9.529 Å, c = 4.773 Å, α = 90.00°, β = 90.00° and γ = 90.00°. Symmetry generates all atoms from Tb at (0.000, 0.000, 0.000), Tb at (0.000, 0.274, 0.500), In at (0.000, 0.500, 0.000), In at (0.233, 0.000, 0.500) and In at (0.250, 0.250, 0.000).

=====

(2)
The following is a PBE-GGA calculation of a relaxed structure of Ac2Al2Zn3, from the Alexandria database.

The mass density is 6.7 Mg/m³. The calculation puts the energy of formation from the pure elements at -6.87 kcal/mol of atoms. As for the crystal system: monoclinic. The total moment comes out at 0.000 μB per cell. For the polymorph energy (0 for the lowest one), the calculation gives 0.0 meV/atom.

It has space group C2/m (No. 12), with a = 11.977 Å, b = 4.345 Å, c = 6.939 Å, α = 90.00°, β = 104.11° and γ = 90.00°. Symmetry generates all atoms from Ac at (0.176, 0.000, 0.233), Al at (0.099, 0.000, 0.684), Zn at (0.000, 0.500, 0.500) and Zn at (0.063, 0.500, 0.880).